Record 1
# Tl2Te3

An optimized crystal structure of Tl2Te3 (PBEsol, Alexandria via LeMat-Bulk).

Cell lengths 6.594, 6.750, 9.144 Å; angles 77.54, 68.87, 60.76 degrees
Element x y z (fractional)
Tl1 0.577 0.483 0.197
Tl2 0.743 0.983 0.697
Tl3 0.249 0.072 0.458
Tl4 0.221 0.572 0.958
Te1 0.604 0.002 0.095
Te2 0.201 0.082 0.973
Te3 0.744 0.582 0.473
Te4 0.957 0.922 0.266
Te5 0.855 0.422 0.766
Te6 0.299 0.502 0.595

Values from the calculation:
* space-group type: Cc
* energy above the lowest structure with this stoichiometry: 0.19 eV/f.u.
* density of states at the Fermi level: 0.005 states/eV/atom
* calculated density: 7.9 g/cm3
* energy relative to the elements, uncorrected: -11.4 kJ per mole of atoms

***

Record 2
# TlTe

An optimized crystal structure of TlTe (PBEsol, Alexandria via LeMat-Bulk).

Cell lengths 6.054, 18.171, 18.171 Å; angles 90.00, 90.00, 90.00 degrees
Element x y z (fractional)
Tl1 0.250 0.674 0.596
Tl2 0.750 0.904 0.174
Tl3 0.246 0.904 0.674
Tl4 0.746 0.174 0.404
Tl5 0.250 0.174 0.096
Tl6 0.250 0.174 0.904
Tl7 0.750 0.904 0.826
Tl8 0.750 0.096 0.826
Tl9 0.254 0.596 0.826
Tl10 0.250 0.326 0.596
Tl11 0.754 0.326 0.096
Tl12 0.750 0.096 0.174
Tl13 0.250 0.674 0.404
Tl14 0.250 0.826 0.096
Tl15 0.754 0.326 0.904
Tl16 0.246 0.096 0.674
Tl17 0.746 0.826 0.596
Tl18 0.254 0.404 0.826
Tl19 0.254 0.404 0.174
Tl20 0.254 0.596 0.174
Tl21 0.250 0.326 0.404
Tl22 0.750 0.404 0.674
Tl23 0.754 0.674 0.904
Tl24 0.750 0.596 0.326
Tl25 0.754 0.674 0.096
Tl26 0.250 0.826 0.904
Tl27 0.746 0.174 0.596
Tl28 0.746 0.826 0.404
Tl29 0.750 0.404 0.326
Tl30 0.246 0.904 0.326
Tl31 0.246 0.096 0.326
Tl32 0.750 0.596 0.674
Te1 0.748 0.835 0.000
Te2 0.748 0.165 0.000
Te3 0.750 0.000 0.000
Te4 0.752 0.335 0.500
Te5 0.746 0.000 0.665
Te6 0.250 0.500 0.500
Te7 0.247 0.000 0.500
Te8 0.754 0.500 0.165
Te9 0.752 0.665 0.500
Te10 0.254 0.335 0.000
Te11 0.746 0.000 0.335
Te12 0.000 0.750 0.250
Te13 0.252 0.000 0.165
Te14 0.500 0.250 0.750
Te15 0.753 0.500 0.000
Te16 0.747 0.000 0.500
Te17 0.252 0.000 0.835
Te18 0.754 0.500 0.835
Te19 0.253 0.500 0.000
Te20 0.500 0.750 0.250
Te21 0.000 0.250 0.750
Te22 0.248 0.500 0.335
Te23 0.750 0.500 0.500
Te24 0.000 0.250 0.250
Te25 0.248 0.500 0.665
Te26 0.500 0.750 0.750
Te27 0.000 0.750 0.750
Te28 0.254 0.665 0.000
Te29 0.246 0.165 0.500
Te30 0.250 0.000 0.000
Te31 0.246 0.835 0.500
Te32 0.500 0.250 0.250

Values from the calculation:
* space-group type: P4_2/nmc
* density of states at the Fermi level: 0.396 states/eV/atom
* calculated density: 8.8 g/cm3
* energy relative to the elements, uncorrected: -19.5 kJ per mole of atoms

***

Record 3
# TlTe5

An optimized crystal structure of TlTe5 (PBEsol, Alexandria via LeMat-Bulk).

Cell lengths 4.521, 5.872, 7.924 Å; angles 111.75, 90.00, 90.00 degrees
Element x y z (fractional)
Te1 0.500 0.726 0.453
Te2 0.500 0.274 0.547
Te3 0.000 0.856 0.712
Te4 0.500 0.000 0.000
Te5 0.000 0.144 0.288
Tl1 0.000 0.500 0.000

Values from the calculation:
* space-group type: Cmmm
* density of states at the Fermi level: 0.302 states/eV/atom
* calculated density: 7.2 g/cm3
* energy relative to the elements, uncorrected: 0.6 kJ per mole of atoms

***

Record 4
# TlTe

An optimized crystal structure of TlTe (PBEsol, Alexandria via LeMat-Bulk).

Cell lengths 6.891, 6.891, 6.891 Å; angles 105.89, 105.89, 116.90 degrees
Element x y z (fractional)
Tl1 0.250 0.250 0.000
Tl2 0.750 0.250 0.500
Tl3 0.750 0.750 0.000
Tl4 0.250 0.750 0.500
Te1 0.195 0.695 0.890
Te2 0.695 0.805 0.500
Te3 0.805 0.305 0.110
Te4 0.305 0.195 0.500

Values from the calculation:
* space-group type: I4/mcm
* density of states at the Fermi level: 0.113 states/eV/atom
* calculated density: 8.9 g/cm3
* energy relative to the elements, uncorrected: -15.5 kJ per mole of atoms

***

Record 5
# TlTe

An optimized crystal structure of TlTe (PBEsol, Alexandria via LeMat-Bulk).

Cell lengths 4.327, 4.327, 7.702 Å; angles 90.00, 90.00, 120.00 degrees
Element x y z (fractional)
Te1 0.333 0.667 0.250
Te2 0.667 0.333 0.750
Tl1 0.000 0.000 0.000
Tl2 0.000 0.000 0.500

Values from the calculation:
* space-group type: P6_3/mmc
* density of states at the Fermi level: 0.332 states/eV/atom
* calculated density: 8.8 g/cm3
* energy relative to the elements, uncorrected: -14.1 kJ per mole of atoms

***

Record 6
# Tl5Te3

An optimized crystal structure of Tl5Te3 (PBEsol, Alexandria via LeMat-Bulk).

Cell lengths 6.751, 9.491, 9.491 Å; angles 120.00, 90.00, 90.00 degrees
Element x y z (fractional)
Tl1 0.500 0.333 0.667
Tl2 0.250 0.000 0.714
Tl3 0.750 0.286 0.000
Tl4 0.500 0.667 0.333
Tl5 0.250 0.286 0.286
Tl6 0.250 0.714 0.000
Tl7 0.750 0.714 0.714
Tl8 0.000 0.667 0.333
Tl9 0.000 0.333 0.667
Tl10 0.750 0.000 0.286
Te1 0.750 0.000 0.626
Te2 0.750 0.626 0.000
Te3 0.750 0.374 0.374
Te4 0.250 0.000 0.374
Te5 0.250 0.626 0.626
Te6 0.250 0.374 0.000

Values from the calculation:
* space-group type: P6_3/mcm
* energy above the lowest structure with this stoichiometry: 0.44 eV/f.u.
* density of states at the Fermi level: 0.568 states/eV/atom
* calculated density: 8.9 g/cm3
* energy relative to the elements, uncorrected: -18.6 kJ per mole of atoms

***

Record 7
# Tl5Te3

An optimized crystal structure of Tl5Te3 (PBEsol, Alexandria via LeMat-Bulk).

Cell lengths 8.766, 8.854, 8.766 Å; angles 60.33, 90.00, 119.67 degrees
Element x y z (fractional)
Tl1 0.489 0.682 0.307
Tl2 0.193 0.682 0.011
Tl3 0.011 0.318 0.489
Tl4 0.500 0.000 0.500
Tl5 0.307 0.318 0.193
Tl6 0.989 0.682 0.511
Tl7 0.511 0.318 0.693
Tl8 0.693 0.682 0.807
Tl9 0.000 0.000 0.000
Tl10 0.807 0.318 0.989
Te1 0.157 0.000 0.657
Te2 0.843 0.000 0.343
Te3 0.250 0.500 0.750
Te4 0.750 0.500 0.250
Te5 0.657 0.000 0.843
Te6 0.343 0.000 0.157

Values from the calculation:
* space-group type: I4/mcm
* energy above the lowest structure with this stoichiometry: 0.00 eV/f.u.
* density of states at the Fermi level: 0.303 states/eV/atom
* calculated density: 9.6 g/cm3
* energy relative to the elements, uncorrected: -23.8 kJ per mole of atoms

***

Record 8
# TlTe

An optimized crystal structure of TlTe (PBEsol, Alexandria via LeMat-Bulk).

Cell lengths 3.382, 3.382, 5.828 Å; angles 90.00, 90.00, 120.00 degrees
Element x y z (fractional)
Te1 0.000 0.000 0.000
Tl1 0.333 0.667 0.500

Values from the calculation:
* space-group type: P-6m2
* density of states at the Fermi level: 0.461 states/eV/atom
* calculated density: 9.5 g/cm3
* energy relative to the elements, uncorrected: -2.1 kJ per mole of atoms

***

Record 9
# TlTe

An optimized crystal structure of TlTe (PBEsol, Alexandria via LeMat-Bulk).

Cell lengths 3.161, 6.262, 6.262 Å; angles 90.00, 90.00, 90.00 degrees
Element x y z (fractional)
Te1 0.000 0.750 0.750
Te2 0.000 0.250 0.250
Tl1 0.500 0.250 0.750
Tl2 0.500 0.750 0.250

Values from the calculation:
* space-group type: P4/mmm
* density of states at the Fermi level: 0.823 states/eV/atom
* calculated density: 8.9 g/cm3
* energy relative to the elements, uncorrected: -12.3 kJ per mole of atoms

***

Record 10
# TlTe

An optimized crystal structure of TlTe (PBEsol, Alexandria via LeMat-Bulk).

Cell lengths 3.355, 3.355, 12.149 Å; angles 82.06, 82.06, 60.00 degrees
Element x y z (fractional)
Tl1 0.624 0.624 0.127
Tl2 0.376 0.376 0.873
Te1 0.118 0.118 0.645
Te2 0.882 0.882 0.355

Values from the calculation:
* space-group type: R-3m
* density of states at the Fermi level: 0.547 states/eV/atom
* calculated density: 9.4 g/cm3
* energy relative to the elements, uncorrected: 6.0 kJ per mole of atoms

***

Record 11
# Tl2Te3

An optimized crystal structure of Tl2Te3 (PBEsol, Alexandria via LeMat-Bulk).

Cell lengths 6.461, 7.241, 7.874 Å; angles 104.35, 90.00, 116.50 degrees
Element x y z (fractional)
Te1 0.320 0.362 0.583
Te2 0.042 0.362 0.083
Te3 0.131 0.000 0.250
Te4 0.869 0.000 0.750
Te5 0.680 0.638 0.417
Te6 0.958 0.638 0.917
Tl1 0.459 0.213 0.947
Tl2 0.246 0.787 0.553
Tl3 0.754 0.213 0.447
Tl4 0.541 0.787 0.053

Values from the calculation:
* space-group type: C2/c
* energy above the lowest structure with this stoichiometry: 0.00 eV/f.u.
* density of states at the Fermi level: 0.025 states/eV/atom
* calculated density: 8.3 g/cm3
* energy relative to the elements, uncorrected: -15.1 kJ per mole of atoms

***

Record 12
# TlTeW3

An optimized crystal structure of TlTeW3 (PBEsol, Alexandria via LeMat-Bulk).

Cell lengths 4.948, 4.948, 4.948 Å; angles 90.00, 90.00, 90.00 degrees
Element x y z (fractional)
Te1 0.500 0.500 0.500
Tl1 0.000 0.000 0.000
W1 0.000 0.000 0.500
W2 0.500 0.000 0.000
W3 0.000 0.500 0.000

Values from the calculation:
* space-group type: Pm-3m
* density of states at the Fermi level: 1.500 states/eV/atom
* calculated density: 12.1 g/cm3
* energy relative to the elements, uncorrected: 308.8 kJ per mole of atoms